[1]
This record from the Alexandria database describes an optimized crystal structure of Al2CrRh. The functional is PBE-GGA.

It has space group R-3m (No. 166, hexagonal axes), with a = 2.7886 Å, b = 2.7886 Å, c = 24.7644 Å, α = 90.00°, β = 90.00° and γ = 120.00°. The distinct sites, in fractional coordinates, are Al at (0.0000, 0.0000, 0.2481), Cr at (0.0000, 0.0000, 0.0000) and Rh at (0.0000, 0.0000, 0.5000).

The value obtained for the relative energy among the computed polymorphs is 294 meV per atom. The formation energy from the elements is -25.9 kJ/mol of atoms.



[2]
This record from the Alexandria database describes an optimized crystal structure of CuTeN. The functional is PBE-GGA.

It has space group C2/m (No. 12), with a = 6.828 Å, b = 6.018 Å, c = 5.873 Å, α = 90.00°, β = 119.65° and γ = 90.00°. The distinct sites, in fractional coordinates, are Cu at (0.250, 0.250, 0.000), Te at (0.209, 0.000, 0.419) and N at (0.142, 0.000, 0.773).

The value obtained for the relative energy among the computed polymorphs is 57 meV per atom. As for the uncorrected formation energy: 548 meV per atom.



[3]
This record from the Alexandria database describes an optimized crystal structure of CaAlGaCu. The functional is PBE-GGA.

It has space group R3m (No. 160, hexagonal axes), with a = 4.2083 Å, b = 4.2083 Å, c = 16.3169 Å, α = 90.00°, β = 90.00° and γ = 120.00°. The distinct sites, in fractional coordinates, are Ca at (0.0000, 0.0000, 0.0000), Al at (0.0000, 0.0000, 0.2027), Ga at (0.0000, 0.0000, 0.7910) and Cu at (0.0000, 0.0000, 0.5013).

The value obtained for the relative energy among the computed polymorphs is 0 meV per atom. The formation energy from the elements is -28.1 kJ/mol of atoms.



[4]
This record from the Alexandria database describes an optimized crystal structure of TbSmTm2. The functional is PBE-GGA.

It has space group P2/c (No. 13), with a = 6.237 Å, b = 7.237 Å, c = 11.280 Å, α = 90.00°, β = 90.02° and γ = 90.00°. The distinct sites, in fractional coordinates, are Tb at (0.166, 0.247, 0.377), Sm at (0.332, 0.499, 0.125), Tm at (0.168, 0.246, 0.874) and Tm at (0.333, 0.001, 0.125).

The value obtained for the relative energy among the computed polymorphs is 0 meV per atom. The formation energy from the elements is 1.2 kJ/mol of atoms.



[5]
This record from the Alexandria database describes an optimized crystal structure of Li2HoPuHg4. The functional is PBE-GGA.

It has space group R-3m (No. 166, hexagonal axes), with a = 5.0606 Å, b = 5.0606 Å, c = 24.9182 Å, α = 90.00°, β = 90.00° and γ = 120.00°. The distinct sites, in fractional coordinates, are Li at (0.0000, 0.0000, 0.2486), Ho at (0.0000, 0.0000, 0.5000), Pu at (0.0000, 0.0000, 0.0000), Hg at (0.0000, 0.0000, 0.1267) and Hg at (0.0000, 0.0000, 0.3779).

The formation energy from the elements is -28.4 kJ/mol of atoms.



[6]
This record from the Alexandria database describes an optimized crystal structure of LaErTe2Cl. The functional is PBE-GGA.

It has space group P4/nmm (No. 129, origin choice 2), with a = 4.389 Å, b = 4.389 Å, c = 15.040 Å, α = 90.00°, β = 90.00° and γ = 90.00°. The distinct sites, in fractional coordinates, are La at (0.250, 0.250, 0.137), Er at (0.250, 0.250, 0.585), Te at (0.250, 0.250, 0.382), Te at (0.250, 0.250, 0.792) and Cl at (0.250, 0.750, 0.000).

As for the uncorrected formation energy: -1665 meV per atom.



[7]
This record from the Alexandria database describes an optimized crystal structure of TbPuTlAu. The functional is PBE-GGA.

It has space group F-43m (No. 216), with a = 7.469 Å, b = 7.469 Å, c = 7.469 Å, α = 90.00°, β = 90.00° and γ = 90.00°. The distinct sites, in fractional coordinates, are Tb at (0.000, 0.000, 0.000), Pu at (0.000, 0.000, 0.500), Tl at (0.250, 0.250, 0.750) and Au at (0.250, 0.250, 0.250).

The formation energy from the elements is -31.8 kJ/mol of atoms.



[8]
This record from the Alexandria database describes an optimized crystal structure of KRbGe2. The functional is PBE-GGA.

It has space group I-42d (No. 122), with a = 9.793 Å, b = 9.793 Å, c = 5.712 Å, α = 90.00°, β = 90.00° and γ = 90.00°. The distinct sites, in fractional coordinates, are K at (0.000, 0.000, 0.000), Rb at (0.000, 0.000, 0.500) and Ge at (0.245, 0.250, 0.125).

The value obtained for the relative energy among the computed polymorphs is 509 meV per atom. The formation energy from the elements is 39.5 kJ/mol of atoms.



[9]
This record from the Alexandria database describes an optimized crystal structure of YZnSi2. The functional is PBE-GGA.

It has space group P2/m (No. 10), with a = 4.032 Å, b = 4.253 Å, c = 4.200 Å, α = 90.00°, β = 90.28° and γ = 90.00°. The distinct sites, in fractional coordinates, are Y at (0.000, 0.000, 0.000), Zn at (0.000, 0.500, 0.500), Si at (0.500, 0.000, 0.500) and Si at (0.500, 0.500, 0.000).

As for the uncorrected formation energy: -289 meV per atom.



[10]
This record from the Alexandria database describes an optimized crystal structure of La5ErHg3. The functional is PBE-GGA.

It has space group P6_3/mcm (No. 193), with a = 9.5181 Å, b = 9.5181 Å, c = 7.0650 Å, α = 90.00°, β = 90.00° and γ = 120.00°. The distinct sites, in fractional coordinates, are La at (0.0000, 0.3373, 0.2500), La at (0.3333, 0.6667, 0.0000), Er at (0.0000, 0.0000, 0.0000) and Hg at (0.0000, 0.3217, 0.7500).

The formation energy from the elements is -28.9 kJ/mol of atoms.



[11]
This record from the Alexandria database describes an optimized crystal structure of YRu. The functional is PBE-GGA.

It has space group I-43m (No. 217), with a = 8.078 Å, b = 8.078 Å, c = 8.078 Å, α = 90.00°, β = 90.00° and γ = 90.00°. The distinct sites, in fractional coordinates, are Y at (0.209, 0.209, 0.209) and Ru at (0.117, 0.117, 0.883).

The formation energy from the elements is 74.2 kJ/mol of atoms.



[12]
This record from the Alexandria database describes an optimized crystal structure of Y2NbFeAg. The functional is PBE-GGA.

It has space group P4/mmm (No. 123), with a = 5.498 Å, b = 5.498 Å, c = 4.380 Å, α = 90.00°, β = 90.00° and γ = 90.00°. The distinct sites, in fractional coordinates, are Y at (0.000, 0.500, 0.000), Nb at (0.000, 0.000, 0.000), Fe at (0.000, 0.000, 0.500) and Ag at (0.500, 0.500, 0.500).

The formation energy from the elements is 72.5 kJ/mol of atoms.